Density functional theory data (PBE with a Hubbard U) for ScVIn2O6 after structural relaxation.

- DFT total energy (eV/atom) = -7.05
- space group = R3
- magnetic moment (μB per atom) = 0.2000
- crystal system = trigonal

Cell and atoms, written as POSCAR:
```
ScVIn2O6
1.0
2.709 1.564 4.823
-2.709 1.564 4.823
0.000 -3.129 4.823
Sc V In O
1 1 2 6
Direct
0.000 0.000 0.000
0.495 0.495 0.495
0.282 0.282 0.282
0.787 0.787 0.787
0.116 0.705 0.378
0.215 0.609 0.868
0.378 0.116 0.705
0.609 0.868 0.215
0.705 0.378 0.116
0.868 0.215 0.609
```